(1)
Here is Tc2IrS after structural relaxation from Alexandria via LeMat-Bulk. Energies are from PBE.

Computed properties:
* distance to the lowest polymorph of the same formula: 0.00 eV per formula unit
* energy relative to the elements, uncorrected: 0.3023 eV per atom
* Fermi-level density of states: 17.8 states/eV per cell

Structure (POSCAR):
```
Tc2IrS
1.0
6.109 0.000 0.000
0.000 6.109 0.000
0.000 0.000 6.109
Tc Ir S
8 4 4
Cartesian
1.527 1.527 1.527
1.527 1.527 4.582
1.527 4.582 1.527
1.527 4.582 4.582
4.582 1.527 1.527
4.582 1.527 4.582
4.582 4.582 1.527
4.582 4.582 4.582
0.000 0.000 0.000
0.000 3.055 3.055
3.055 0.000 3.055
3.055 3.055 0.000
0.000 0.000 3.055
0.000 3.055 0.000
3.055 0.000 0.000
3.055 3.055 3.055
```



(2)
Here is ZnSn2Au8 after structural relaxation from Alexandria via LeMat-Bulk. Energies are from PBE.

Computed properties:
* energy of formation: -0.087 eV/atom
* Fermi-level density of states: 3.1 states/eV per cell

Structure (POSCAR):
```
ZnSn2Au8
1.0
7.359 -2.142 0.000
7.359 2.142 0.000
-4.383 0.000 6.928
Zn Sn Au
1 2 8
Cartesian
0.000 0.000 0.000
3.617 0.000 2.559
6.717 0.000 4.368
0.284 0.000 2.697
-1.651 0.000 6.571
1.111 0.000 5.439
6.227 0.000 1.365
4.107 0.000 5.562
9.223 0.000 1.488
11.985 0.000 0.357
10.050 0.000 4.231
```



(3)
Here is Li2TbPd6 after structural relaxation from Alexandria via LeMat-Bulk. Energies are from PBE.

Computed properties:
* energy of formation: -0.492 eV/atom
* Fermi-level density of states: 3.3 states/eV per cell

Structure (POSCAR):
```
Li2TbPd6
1.0
4.643 -2.182 0.000
4.643 2.182 0.000
-4.396 0.000 7.036
Li Tb Pd
2 1 6
Cartesian
-1.422 0.000 2.599
6.311 0.000 4.438
0.000 0.000 0.000
-0.646 0.000 5.464
1.067 0.000 3.282
2.725 0.000 1.034
2.164 0.000 6.002
3.822 0.000 3.755
5.536 0.000 1.572
```